A geometry-optimized AcAs2ClO6 structure, computed with GGA-PBE.

- Magnetic moment: 0.00 μB per cell
- Total DFT energy (no corrections): -6.263 eV per atom
- ΔE_f (raw): -1.76 eV per atom
- Space-group type: C2/c (15)
- N(E_F): 0.0 states/eV/f.u.

Cell: 8.899 8.899 5.187 Å, 100.06 100.06 86.34°
Positions (direct):
Ac1 0.187 0.813 0.750
Ac2 0.813 0.187 0.250
As1 0.226 0.392 0.337
As2 0.392 0.226 0.837
As3 0.608 0.774 0.163
As4 0.774 0.608 0.663
Cl1 0.080 0.920 0.250
Cl2 0.920 0.080 0.750
O1 0.052 0.326 0.310
O2 0.254 0.576 0.461
O3 0.277 0.368 0.009
O4 0.326 0.052 0.810
O5 0.368 0.277 0.509
O6 0.424 0.746 0.039
O7 0.576 0.254 0.961
O8 0.632 0.723 0.491
O9 0.674 0.948 0.190
O10 0.723 0.632 0.991
O11 0.746 0.424 0.539
O12 0.948 0.674 0.690